The following is a DFT calculation (PBE+U) of a relaxed Cs3MnO3 crystal.

Cell: 7.179 8.070 11.883 Å, 95.94 90.00 90.00°
Each line ends with the local moment (μB).
Positions (direct):
O: 0.486 0.257 0.204  -0.02
O: 0.696 0.269 0.542  -0.02
Cs: 0.167 0.338 0.930  0.00
Cs: 0.871 0.963 0.838  0.01
O: 0.511 0.912 0.089  0.01
Cs: 0.665 0.384 0.807  0.00
Cs: 0.165 0.616 0.693  0.00
Mn: 0.416 0.852 0.932  3.81
O: 0.489 0.088 0.911  0.01
Cs: 0.835 0.384 0.307  0.00
Cs: 0.335 0.616 0.193  0.00
Cs: 0.333 0.338 0.430  0.00
O: 0.011 0.088 0.411  0.01
O: 0.196 0.731 0.958  -0.02
Mn: 0.584 0.148 0.068  3.81
O: 0.986 0.743 0.296  -0.02
Cs: 0.129 0.037 0.162  0.01
Cs: 0.629 0.963 0.338  0.01
Mn: 0.084 0.852 0.432  3.81
Cs: 0.371 0.037 0.662  0.01
O: 0.804 0.269 0.042  -0.02
O: 0.514 0.743 0.796  -0.02
Cs: 0.667 0.662 0.570  0.00
O: 0.304 0.731 0.458  -0.02
O: 0.989 0.912 0.589  0.01
Mn: 0.916 0.148 0.568  3.81
Cs: 0.833 0.662 0.070  0.00
O: 0.014 0.257 0.704  -0.02

Density   4.9 g/cm3
Raw total energy   -4.89 eV per atom
Space-group type   P2_1/c